A plane-wave DFT calculation with PBE was carried out for a geometry-optimized RbAlBr4 structure.

Space group: No. 62

Cell lengths 11.805, 7.630, 10.485 Å; angles 90.00, 90.00, 90.00 degrees
Positions (direct):
Rb  0.196  0.250  0.213
Rb  0.304  0.750  0.713
Rb  0.696  0.250  0.287
Rb  0.804  0.750  0.787
Al  0.057  0.250  0.687
Al  0.443  0.750  0.187
Al  0.557  0.250  0.813
Al  0.943  0.750  0.313
Br  0.061  0.004  0.820
Br  0.061  0.496  0.820
Br  0.109  0.750  0.430
Br  0.219  0.250  0.562
Br  0.281  0.750  0.062
Br  0.391  0.250  0.930
Br  0.439  0.504  0.320
Br  0.439  0.996  0.320
Br  0.561  0.004  0.680
Br  0.561  0.496  0.680
Br  0.609  0.750  0.070
Br  0.719  0.250  0.938
Br  0.781  0.750  0.438
Br  0.891  0.250  0.570
Br  0.939  0.504  0.180
Br  0.939  0.996  0.180

A plane-wave DFT calculation with PBE was carried out for a geometry-optimized Rb2AlBr structure.

Space group: No. 122

Cell lengths 8.002, 8.002, 8.002 Å; angles 105.82, 105.82, 117.06 degrees
Positions (direct):
Rb  0.085  0.125  0.460
Rb  0.375  0.915  0.040
Rb  0.665  0.625  0.540
Rb  0.875  0.335  0.960
Al  0.250  0.750  0.500
Al  0.500  0.500  0.000
Br  0.000  0.000  0.000
Br  0.750  0.250  0.500

A plane-wave DFT calculation with PBE was carried out for a geometry-optimized Rb6Al3Br14 structure.

Space group: No. 143

Cell lengths 12.634, 12.634, 6.648 Å; angles 90.00, 90.00, 120.00 degrees
Positions (direct):
Rb  0.009  0.446  0.000
Rb  0.325  0.219  0.534
Rb  0.437  0.991  0.000
Rb  0.554  0.563  0.000
Rb  0.781  0.105  0.534
Rb  0.895  0.675  0.534
Al  0.000  0.000  0.112
Al  0.333  0.667  0.586
Al  0.667  0.333  0.262
Br  0.000  0.000  0.762
Br  0.072  0.198  0.232
Br  0.126  0.928  0.232
Br  0.206  0.737  0.709
Br  0.263  0.469  0.709
Br  0.333  0.667  0.237
Br  0.451  0.263  0.039
Br  0.522  0.117  0.485
Br  0.531  0.794  0.709
Br  0.595  0.478  0.485
Br  0.737  0.188  0.039
Br  0.802  0.874  0.232
Br  0.812  0.549  0.039
Br  0.883  0.405  0.485

A plane-wave DFT calculation with PBE was carried out for a geometry-optimized Rb2AlBr4 structure.

Space group: No. 139

Cell lengths 9.534, 9.534, 9.534 Å; angles 147.31, 147.31, 46.91 degrees
Positions (direct):
Rb  0.142  0.142  0.000
Rb  0.858  0.858  0.000
Al  0.500  0.500  0.000
Br  0.000  0.500  0.500
Br  0.341  0.341  0.000
Br  0.500  0.000  0.500
Br  0.659  0.659  0.000

no.,formation energy (no corrections) (eV per atom),DOS at the Fermi energy (states/eV per cell),magnetic moment (μB/cell)
1,-1.402,0.00,0.000
2,-0.288,1.22,0.000
3,-1.409,2.27,1.038
4,-1.311,2.07,0.000